Record 1
This record from OQMD via LeMat-Bulk describes a relaxed structure of DyMg. The functional is GGA-PBE.

Cell: 5.393 9.966 6.105 Å, 90.00 90.00 90.00°
Positions (direct):
Dy1 0.000 0.069 0.000
Dy2 0.000 0.404 0.069
Dy3 0.000 0.596 0.569
Dy4 0.000 0.931 0.500
Dy5 0.500 0.411 0.733
Dy6 0.500 0.589 0.233
Mg1 0.000 0.255 0.544
Mg2 0.000 0.745 0.044
Mg3 0.500 0.084 0.696
Mg4 0.500 0.234 0.232
Mg5 0.500 0.766 0.732
Mg6 0.500 0.916 0.196

* E: -3.0591 eV/atom

Record 2
This record from OQMD via LeMat-Bulk describes a relaxed structure of RbPaO3. The functional is GGA-PBE.

Cell: 6.453 6.453 6.453 Å, 62.89 62.89 62.89°
Positions (direct):
Rb1 0.000 0.000 0.000
Rb2 0.500 0.500 0.500
Pa1 0.250 0.250 0.250
Pa2 0.750 0.750 0.750
O1 0.050 0.750 0.450
O2 0.250 0.550 0.950
O3 0.450 0.050 0.750
O4 0.550 0.950 0.250
O5 0.750 0.450 0.050
O6 0.950 0.250 0.550

* E: -6.9642 eV/atom

Record 3
This record from OQMD via LeMat-Bulk describes a relaxed structure of Dy2BiO4. The functional is GGA-PBE.

Cell: 6.927 6.927 6.927 Å, 60.00 60.00 60.00°
Positions (direct):
Dy1 0.000 0.000 0.000
Dy2 0.000 0.000 0.500
Dy3 0.000 0.500 0.000
Dy4 0.500 0.000 0.000
Bi1 0.375 0.375 0.375
Bi2 0.625 0.625 0.625
O1 0.195 0.768 0.768
O2 0.232 0.232 0.232
O3 0.232 0.232 0.805
O4 0.232 0.805 0.232
O5 0.768 0.195 0.768
O6 0.768 0.768 0.195
O7 0.768 0.768 0.768
O8 0.805 0.232 0.232

* E: -7.3005 eV/atom

Record 4
This record from OQMD via LeMat-Bulk describes a relaxed structure of LiPuMo. The functional is GGA-PBE.

Cell: 4.353 4.353 4.353 Å, 60.00 60.00 60.00°
Positions (direct):
Li1 0.000 0.000 0.000
Pu1 0.250 0.250 0.250
Mo1 0.500 0.500 0.500

* E: -7.8402 eV/atom

Record 5
This record from OQMD via LeMat-Bulk describes a relaxed structure of TaPSe4. The functional is GGA-PBE.

Cell: 24.769 3.415 3.415 Å, 59.98 90.00 90.00°
Positions (direct):
Ta1 0.000 0.000 0.000
P1 0.500 0.500 0.500
Se1 0.068 0.333 0.333
Se2 0.431 0.833 0.833
Se3 0.569 0.833 0.833
Se4 0.932 0.333 0.333

* energy relative to the lowest polymorph listed for this composition: 3 meV per atom

Record 6
This record from OQMD via LeMat-Bulk describes a relaxed structure of LiFeSbW. The functional is GGA-PBE.

Cell: 4.413 4.413 4.413 Å, 60.00 60.00 60.00°
Positions (direct):
Li1 0.000 0.000 0.000
Fe1 0.750 0.750 0.750
Sb1 0.500 0.500 0.500
W1 0.250 0.250 0.250

* energy relative to the lowest polymorph listed for this composition: 218 meV per atom

Record 7
This record from OQMD via LeMat-Bulk describes a relaxed structure of Hf4Fe3Mo2N3. The functional is GGA-PBE.

Cell: 5.294 5.294 13.619 Å, 101.38 101.38 59.69°
Positions (direct):
Hf1 0.021 0.205 0.094
Hf2 0.141 0.305 0.405
Hf3 0.205 0.021 0.594
Hf4 0.305 0.141 0.905
Hf5 0.695 0.859 0.095
Hf6 0.795 0.979 0.406
Hf7 0.859 0.695 0.595
Hf8 0.979 0.795 0.906
Fe1 0.050 0.415 0.749
Fe2 0.113 0.887 0.750
Fe3 0.415 0.050 0.249
Fe4 0.585 0.950 0.751
Fe5 0.887 0.113 0.250
Fe6 0.950 0.585 0.251
Mo1 0.385 0.550 0.148
Mo2 0.450 0.615 0.352
Mo3 0.550 0.385 0.648
Mo4 0.615 0.450 0.852
N1 0.000 0.500 0.000
N2 0.172 0.663 0.500
N3 0.337 0.828 0.000
N4 0.500 0.000 0.500
N5 0.663 0.172 0.000
N6 0.828 0.337 0.500

* E: -9.7580 eV/atom

Record 8
This record from OQMD via LeMat-Bulk describes a relaxed structure of Lu2ScOs. The functional is GGA-PBE.

Cell: 4.918 4.918 4.918 Å, 60.00 60.00 60.00°
Positions (direct):
Lu1 0.000 0.000 0.000
Lu2 0.250 0.250 0.250
Sc1 0.500 0.500 0.500
Os1 0.750 0.750 0.750

* formation enthalpy at 0 K: -0.02 eV/atom

Record 9
This record from OQMD via LeMat-Bulk describes a relaxed structure of Y2GeW. The functional is GGA-PBE.

Cell: 4.923 4.923 4.923 Å, 60.00 60.00 60.00°
Positions (direct):
Y1 0.000 0.000 0.000
Y2 0.250 0.250 0.250
Ge1 0.500 0.500 0.500
W1 0.750 0.750 0.750

* E: -7.3191 eV/atom

Record 10
This record from OQMD via LeMat-Bulk describes a relaxed structure of NiSbIrPt. The functional is GGA-PBE.

Cell: 4.467 4.467 4.467 Å, 60.00 60.00 60.00°
Positions (direct):
Ni1 0.000 0.000 0.000
Sb1 0.750 0.750 0.750
Ir1 0.250 0.250 0.250
Pt1 0.500 0.500 0.500

* E: -5.9893 eV/atom

Record 11
This record from OQMD via LeMat-Bulk describes a relaxed structure of NbPIrO. The functional is GGA-PBE.

Cell: 4.702 4.702 4.835 Å, 90.00 90.00 90.00°
Positions (direct):
Nb1 0.250 0.750 0.000
Nb2 0.750 0.250 0.000
P1 0.250 0.250 0.179
P2 0.750 0.750 0.821
Ir1 0.250 0.250 0.663
Ir2 0.750 0.750 0.337
O1 0.250 0.750 0.500
O2 0.750 0.250 0.500

* energy relative to the lowest polymorph listed for this composition: 655 meV per atom

Record 12
This record from OQMD via LeMat-Bulk describes a relaxed structure of MgCoAgTe3. The functional is GGA-PBE.

Cell: 7.272 7.272 10.897 Å, 90.00 90.00 150.09°
Positions (direct):
Mg1 0.195 0.805 0.750
Mg2 0.805 0.195 0.250
Co1 0.500 0.500 0.000
Co2 0.500 0.500 0.500
Ag1 0.151 0.849 0.250
Ag2 0.849 0.151 0.750
Te1 0.124 0.876 0.005
Te2 0.124 0.876 0.495
Te3 0.469 0.531 0.250
Te4 0.531 0.469 0.750
Te5 0.876 0.124 0.505
Te6 0.876 0.124 0.995

* E: -3.6216 eV/atom

Record 13
This record from OQMD via LeMat-Bulk describes a relaxed structure of Li2Zr2AlTlPt2. The functional is GGA-PBE.

Cell: 4.564 4.564 6.502 Å, 90.00 90.00 90.00°
Positions (direct):
Li1 0.000 0.500 0.240
Li2 0.500 0.000 0.760
Zr1 0.000 0.000 0.000
Zr2 0.500 0.500 0.500
Al1 0.500 0.500 0.000
Tl1 0.000 0.000 0.500
Pt1 0.000 0.500 0.771
Pt2 0.500 0.000 0.229

* E: -5.6199 eV/atom

Record 14
This record from OQMD via LeMat-Bulk describes a relaxed structure of Rb2AgH6Au. The functional is GGA-PBE.

Cell: 6.103 6.103 6.103 Å, 122.68 122.68 85.42°
Positions (direct):
Rb1 0.250 0.750 0.500
Rb2 0.750 0.250 0.500
Ag1 0.000 0.000 0.000
H1 0.192 0.192 0.000
H2 0.298 0.298 0.595
H3 0.298 0.702 0.000
H4 0.702 0.298 0.000
H5 0.702 0.702 0.405
H6 0.808 0.808 0.000
Au1 0.500 0.500 0.000

* E: -2.9365 eV/atom

Record 15
This record from OQMD via LeMat-Bulk describes a relaxed structure of DyEr2Mg3AlGa2. The functional is GGA-PBE.

Cell: 4.486 7.247 7.247 Å, 120.17 90.00 90.00°
Positions (direct):
Dy1 0.000 0.000 0.000
Er1 0.000 0.130 0.565
Er2 0.000 0.565 0.130
Mg1 0.500 0.320 0.320
Mg2 0.500 0.564 0.809
Mg3 0.500 0.809 0.564
Al1 0.000 0.563 0.563
Ga1 0.500 0.232 0.897
Ga2 0.500 0.897 0.232

* E: -3.5597 eV/atom

Record 16
This record from OQMD via LeMat-Bulk describes a relaxed structure of Hf4Ta2Ga3C3. The functional is GGA-PBE.

Cell: 5.589 5.589 14.213 Å, 101.37 101.37 60.04°
Positions (direct):
Hf1 0.035 0.194 0.093
Hf2 0.132 0.302 0.407
Hf3 0.194 0.035 0.593
Hf4 0.302 0.132 0.907
Hf5 0.698 0.868 0.093
Hf6 0.806 0.965 0.407
Hf7 0.868 0.698 0.593
Hf8 0.965 0.806 0.907
Ta1 0.358 0.528 0.083
Ta2 0.472 0.642 0.417
Ta3 0.528 0.358 0.583
Ta4 0.642 0.472 0.917
Ga1 0.114 0.886 0.250
Ga2 0.279 0.419 0.751
Ga3 0.419 0.279 0.251
Ga4 0.581 0.721 0.749
Ga5 0.721 0.581 0.249
Ga6 0.886 0.114 0.750
C1 0.000 0.500 0.000
C2 0.170 0.665 0.500
C3 0.335 0.830 0.000
C4 0.500 0.000 0.500
C5 0.665 0.170 0.000
C6 0.830 0.335 0.500

* E: -9.0782 eV/atom

Record 17
This record from OQMD via LeMat-Bulk describes a relaxed structure of BaLiDyS3. The functional is GGA-PBE.

Cell: 8.828 8.828 8.569 Å, 103.59 103.59 26.69°
Positions (direct):
Ba1 0.136 0.136 0.065
Ba2 0.864 0.864 0.935
Li1 0.495 0.495 0.301
Li2 0.505 0.505 0.699
Dy1 0.164 0.164 0.581
Dy2 0.836 0.836 0.419
S1 0.000 0.000 0.500
S2 0.331 0.331 0.204
S3 0.331 0.331 0.634
S4 0.500 0.500 0.000
S5 0.669 0.669 0.366
S6 0.669 0.669 0.796

* energy relative to the lowest polymorph listed for this composition: 16 meV per atom

Record 18
This record from OQMD via LeMat-Bulk describes a relaxed structure of RbAg3PbS4. The functional is GGA-PBE.

Cell: 6.552 6.552 6.552 Å, 90.00 90.00 90.00°
Positions (direct):
Rb1 0.000 0.000 0.000
Ag1 0.000 0.500 0.500
Ag2 0.500 0.000 0.500
Ag3 0.500 0.500 0.000
Pb1 0.500 0.500 0.500
S1 0.280 0.280 0.280
S2 0.280 0.720 0.720
S3 0.720 0.280 0.720
S4 0.720 0.720 0.280

* E: -3.4790 eV/atom

Record 19
This record from OQMD via LeMat-Bulk describes a relaxed structure of Pa2Ga3Pt. The functional is GGA-PBE.

Cell: 3.471 4.485 7.716 Å, 90.00 90.00 90.00°
Positions (direct):
Pa1 0.000 0.000 0.000
Pa2 0.000 0.500 0.481
Ga1 0.500 0.000 0.660
Ga2 0.500 0.500 0.152
Ga3 0.500 0.500 0.819
Pt1 0.500 0.000 0.324

* E: -6.2869 eV/atom

Record 20
This record from OQMD via LeMat-Bulk describes a relaxed structure of LuFeNiSn. The functional is GGA-PBE.

Cell: 4.516 4.516 4.516 Å, 60.00 60.00 60.00°
Positions (direct):
Lu1 0.000 0.000 0.000
Fe1 0.750 0.750 0.750
Ni1 0.250 0.250 0.250
Sn1 0.500 0.500 0.500

* energy relative to the lowest polymorph listed for this composition: 0 meV per atom

Record 21
This record from OQMD via LeMat-Bulk describes a relaxed structure of Li2Mg2Al2IrAu. The functional is GGA-PBE.

Cell: 4.418 4.418 6.333 Å, 90.00 90.00 90.00°
Positions (direct):
Li1 0.000 0.000 0.000
Li2 0.500 0.500 0.500
Mg1 0.000 0.500 0.244
Mg2 0.500 0.000 0.756
Al1 0.000 0.500 0.775
Al2 0.500 0.000 0.225
Ir1 0.500 0.500 0.000
Au1 0.000 0.000 0.500

* E: -3.8509 eV/atom

Record 22
This record from OQMD via LeMat-Bulk describes a relaxed structure of LiLuZnS3. The functional is GGA-PBE.

Cell: 6.411 6.411 10.389 Å, 90.00 90.00 145.73°
Positions (direct):
Li1 0.238 0.762 0.750
Li2 0.762 0.238 0.250
Lu1 0.000 0.000 0.000
Lu2 0.000 0.000 0.500
Zn1 0.473 0.527 0.250
Zn2 0.527 0.473 0.750
S1 0.091 0.909 0.250
S2 0.361 0.639 0.074
S3 0.361 0.639 0.426
S4 0.639 0.361 0.574
S5 0.639 0.361 0.926
S6 0.909 0.091 0.750

* energy relative to the lowest polymorph listed for this composition: 17 meV per atom

Record 23
This record from OQMD via LeMat-Bulk describes a relaxed structure of YHgW2. The functional is GGA-PBE.

Cell: 4.788 4.788 4.788 Å, 60.00 60.00 60.00°
Positions (direct):
Y1 0.000 0.000 0.000
Hg1 0.250 0.250 0.250
W1 0.500 0.500 0.500
W2 0.750 0.750 0.750

* formation enthalpy at 0 K: 0.55 eV/atom